[1]
Ac8GeAs5: optimized geometry, PBE.

```
14
Lattice="-4.813 4.813 4.809 4.813 -4.813 4.809 4.813 4.813 -4.809" Properties=species:S:1:pos:R:3 pbc="T T T"
Ac 4.208 1.754 -0.574
Ac 1.769 -0.646 1.846
Ac 3.045 5.459 -2.963
Ac 3.059 -0.605 5.383
Ac 1.754 5.419 0.574
Ac 4.168 3.045 2.963
Ac 0.605 3.059 4.236
Ac 0.646 1.769 7.772
Ge 0.000 0.000 4.809
As 7.245 1.211 -1.205
As 4.813 0.000 2.405
As 1.211 2.382 1.205
As -2.432 3.602 3.605
As 3.602 2.432 6.014
```

- E_form (eV/atom) = -1.10
- total moment (μB per cell) = 0.0
- V (Å³/f.u.) = 445.7
- density of states at the Fermi level (states/eV/atom) = 1.202

[2]
Ac4GeAs2: optimized geometry, PBE.

```
14
Lattice="2.253 -7.285 0.000 2.253 7.285 0.000 0.000 0.000 15.150" Properties=species:S:1:pos:R:3 pbc="T T T"
Ac 0.000 0.000 0.000
Ac 0.000 0.000 7.575
Ac 2.253 3.236 9.455
Ac 2.253 3.236 13.270
Ac 2.253 0.682 3.788
Ac 2.253 -0.682 11.363
Ac 2.253 -3.236 1.880
Ac 2.253 -3.236 5.695
Ge 2.253 5.706 3.788
Ge 2.253 -5.706 11.363
As 2.253 2.022 0.952
As 2.253 2.022 6.623
As 2.253 -2.022 8.527
As 2.253 -2.022 14.198
```

- E_form (eV/atom) = -1.02
- total moment (μB per cell) = 1.3
- V (Å³/f.u.) = 248.7
- density of states at the Fermi level (states/eV/atom) = 0.723

[3]
AcGeAs2: optimized geometry, PBE.

```
4
Lattice="4.777 0.000 0.000 0.000 4.777 0.000 0.000 0.000 4.248" Properties=species:S:1:pos:R:3 pbc="T T T"
Ac 0.000 0.000 0.000
Ge 2.389 2.389 0.000
As 0.000 2.389 2.124
As 2.389 0.000 2.124
```

- E_form (eV/atom) = -0.51
- total moment (μB per cell) = 0.0
- V (Å³/f.u.) = 96.9
- density of states at the Fermi level (states/eV/atom) = 0.754